1.
Compound: HfTiRuBr2
Source: Alexandria via LeMat-Bulk
Functional: GGA-PBEsol
Structure: optimized geometry

Values from the calculation:
SG ... P4/mmm

Lattice parameters (Å, degrees): 4.9080 4.9080 4.8754 90.00 90.00 90.00
Positions (direct):
Hf  0.0000  0.0000  0.0000
Ti  0.5000  0.5000  0.0000
Ru  0.0000  0.0000  0.5000
Br  0.0000  0.5000  0.5000
Br  0.5000  0.0000  0.5000



2.
Compound: BeCdSi2
Source: Alexandria via LeMat-Bulk
Functional: GGA-PBEsol
Structure: optimized geometry

Values from the calculation:
SG ... I-4m2

Lattice parameters (Å, degrees): 4.6943 4.6943 4.6943 128.84 128.84 75.26
Positions (direct):
Be  0.0000  0.0000  0.0000
Cd  0.7500  0.2500  0.5000
Si  0.2500  0.7500  0.5000
Si  0.5000  0.5000  0.0000



3.
Compound: Rb2PIrRh
Source: Alexandria via LeMat-Bulk
Functional: GGA-PBEsol
Structure: optimized geometry

Values from the calculation:
SG ... P4/mmm
ΔH_f (0 K) ... 1.301 eV/atom

Lattice parameters (Å, degrees): 6.2807 6.2807 4.5392 90.00 90.00 90.00
Positions (direct):
Rb  0.0000  0.5000  0.0000
Rb  0.5000  0.0000  0.0000
P  0.0000  0.0000  0.5000
Ir  0.5000  0.5000  0.0000
Rh  0.5000  0.5000  0.5000



4.
Compound: HfZnOs3
Source: Alexandria via LeMat-Bulk
Functional: GGA-PBEsol
Structure: optimized geometry

Values from the calculation:
SG ... Pm-3m
ΔH_f (0 K) ... 1.364 eV/atom

Lattice parameters (Å, degrees): 4.4123 4.4123 4.4123 90.00 90.00 90.00
Positions (direct):
Hf  0.0000  0.0000  0.0000
Zn  0.5000  0.5000  0.5000
Os  0.0000  0.5000  0.5000
Os  0.5000  0.0000  0.5000
Os  0.5000  0.5000  0.0000



5.
Compound: TcAsRu
Source: Alexandria via LeMat-Bulk
Functional: GGA-PBEsol
Structure: optimized geometry

Values from the calculation:
SG ... P3m1
ΔH_f (0 K) ... 0.027 eV/atom
E above lowest polymorph ... 0.0000 eV per atom

Lattice parameters (Å, degrees): 4.1559 4.1559 2.8104 90.00 90.00 120.00
Positions (direct):
Tc  0.0000  0.0000  0.0000
As  0.3333  0.6667  0.7409
Ru  0.6667  0.3333  0.4969



6.
Compound: Al2InAg
Source: Alexandria via LeMat-Bulk
Functional: GGA-PBEsol
Structure: optimized geometry

Values from the calculation:
SG ... C2/m
ΔH_f (0 K) ... 0.064 eV/atom

Lattice parameters (Å, degrees): 5.0167 5.0167 5.0381 99.04 99.04 35.77
Positions (direct):
Al  0.2426  0.2426  0.2345
Al  0.7574  0.7574  0.7655
In  0.0000  0.0000  0.5000
Ag  0.5000  0.5000  0.0000



7.
Compound: AlPdO2
Source: Alexandria via LeMat-Bulk
Functional: GGA-PBEsol
Structure: optimized geometry

Values from the calculation:
SG ... R-3m

Lattice parameters (Å, degrees): 6.1679 6.1679 6.1679 26.51 26.51 26.51
Positions (direct):
Al  0.0000  0.0000  0.0000
Pd  0.5000  0.5000  0.5000
O  0.3874  0.3874  0.3874
O  0.6126  0.6126  0.6126



8.
Compound: Zr4InTe
Source: Alexandria via LeMat-Bulk
Functional: GGA-PBEsol
Structure: optimized geometry

Values from the calculation:
SG ... F-43m

Lattice parameters (Å, degrees): 5.7568 5.7568 5.7568 60.00 60.00 60.00
Positions (direct):
Zr  0.3763  0.3763  0.3763
Zr  0.3763  0.3763  0.8712
Zr  0.3763  0.8712  0.3763
Zr  0.8712  0.3763  0.3763
In  0.7500  0.7500  0.7500
Te  0.0000  0.0000  0.0000



9.
Compound: AlBSe2N
Source: Alexandria via LeMat-Bulk
Functional: GGA-PBEsol
Structure: optimized geometry

Values from the calculation:
SG ... P4/mmm

Lattice parameters (Å, degrees): 4.9399 4.9399 3.5064 90.00 90.00 90.00
Positions (direct):
Al  0.0000  0.0000  0.0000
B  0.5000  0.5000  0.5000
Se  0.0000  0.5000  0.0000
Se  0.5000  0.0000  0.0000
N  0.0000  0.0000  0.5000



10.
Compound: Gd3Er
Source: Alexandria via LeMat-Bulk
Functional: GGA-PBEsol
Structure: optimized geometry

Values from the calculation:
SG ... Pm-3m
ΔH_f (0 K) ... 0.028 eV/atom

Lattice parameters (Å, degrees): 4.9167 4.9167 4.9167 90.00 90.00 90.00
Positions (direct):
Gd  0.0000  0.0000  0.5000
Gd  0.0000  0.5000  0.0000
Gd  0.5000  0.0000  0.0000
Er  0.5000  0.5000  0.5000



11.
Compound: MnRh2O4
Source: Alexandria via LeMat-Bulk
Functional: GGA-PBEsol
Structure: optimized geometry

Values from the calculation:
SG ... Fd-3m

Lattice parameters (Å, degrees): 6.0458 6.0458 6.0458 60.00 60.00 60.00
Positions (direct):
Mn  0.1250  0.1250  0.1250
Mn  0.8750  0.8750  0.8750
Rh  0.0000  0.5000  0.5000
Rh  0.5000  0.0000  0.5000
Rh  0.5000  0.5000  0.0000
Rh  0.5000  0.5000  0.5000
O  0.2616  0.2616  0.2616
O  0.2616  0.2616  0.7153
O  0.2616  0.7153  0.2616
O  0.2847  0.7384  0.7384
O  0.7153  0.2616  0.2616
O  0.7384  0.2847  0.7384
O  0.7384  0.7384  0.2847
O  0.7384  0.7384  0.7384



12.
Compound: NdCo4B4
Source: Alexandria via LeMat-Bulk
Functional: GGA-PBEsol
Structure: optimized geometry

Values from the calculation:
SG ... P4_2/n
ΔH_f (0 K) ... -0.529 eV/atom

Lattice parameters (Å, degrees): 6.9719 6.9719 3.7639 90.00 90.00 90.00
Positions (direct):
Nd  0.2500  0.2500  0.2500
Nd  0.7500  0.7500  0.7500
Co  0.1091  0.6335  0.1444
Co  0.1335  0.8909  0.6444
Co  0.3665  0.6091  0.6444
Co  0.3909  0.8665  0.1444
Co  0.6091  0.1335  0.8556
Co  0.6335  0.3909  0.3556
Co  0.8665  0.1091  0.3556
Co  0.8909  0.3665  0.8556
B  0.0480  0.9115  0.1475
B  0.0885  0.5480  0.6475
B  0.4115  0.9520  0.6475
B  0.4520  0.5885  0.1475
B  0.5480  0.4115  0.8525
B  0.5885  0.0480  0.3525
B  0.9115  0.4520  0.3525
B  0.9520  0.0885  0.8525



Final energy
In order: -28.6; -14.4; -19.3; -41.9; -26.5; -14.2; -28.7; -42.6; -21.9; -48.2; -106.7; -137.9
Unit: eV/cell